A plane-wave DFT calculation with PBE-GGA was carried out for In3MoIr after structural relaxation.

a b c (Å): 5.127 5.127 5.127
angles (deg): 90.00 90.00 90.00
Each line ends with the local moment (μB).
Fractional coordinates of all 5 atoms:
1 Mo 0.500 0.500 0.500  3.64
2 In 0.500 0.000 0.000  0.03
3 In 0.000 0.000 0.500  -0.02
4 In 0.000 0.500 0.000  -0.01
5 Ir 0.000 0.000 0.000  0.17

Values from the calculation:
For the distance to the lowest polymorph of the same formula, the calculation gives 0 meV/atom. The calculation puts the formation energy at 0.7919 eV per atom. As for the space group: Pm-3m (221).